## 1
Compound: VN2ClF
Source: the Alexandria database
Functional: PBE+U
Structure: optimized geometry

**Density**: 3.56 g/cm³

Cell: 3.588 3.588 4.832 Å, 90.00 90.00 90.00°
Fractional coordinates of all 5 atoms:
V (0.000, 0.000, 0.000)
N (0.000, 0.500, 0.500)
N (0.500, 0.000, 0.500)
Cl (0.500, 0.500, 0.500)
F (0.500, 0.500, 0.000)



## 2
Compound: VN2ClF
Source: the Alexandria database
Functional: PBE+U
Structure: optimized geometry

**Density**: 3.66 g/cm³

Cell: 3.939 3.939 3.901 Å, 90.00 90.00 90.00°
Fractional coordinates of all 5 atoms:
V (0.000, 0.000, 0.000)
N (0.000, 0.500, 0.000)
N (0.500, 0.000, 0.000)
Cl (0.500, 0.500, 0.500)
F (0.000, 0.000, 0.500)



Most stable to least stable: 2, 1



## 1
Compound: WNClF2
Source: the Alexandria database
Functional: PBE+U
Structure: optimized geometry

**Density**: 5.61 g/cm³

Cell: 4.890 4.890 3.357 Å, 90.00 90.00 90.00°
Fractional coordinates of all 5 atoms:
W (0.000, 0.000, 0.000)
N (0.500, 0.500, 0.000)
Cl (0.500, 0.500, 0.500)
F (0.000, 0.500, 0.500)
F (0.500, 0.000, 0.500)



## 2
Compound: WNClF2
Source: the Alexandria database
Functional: PBE+U
Structure: optimized geometry

**Density**: 6.44 g/cm³

Cell: 4.167 4.167 4.026 Å, 90.00 90.00 90.00°
Fractional coordinates of all 5 atoms:
W (0.000, 0.000, 0.000)
N (0.000, 0.000, 0.500)
Cl (0.500, 0.500, 0.500)
F (0.000, 0.500, 0.000)
F (0.500, 0.000, 0.000)



Most stable to least stable: 2, 1



## 1
Compound: WN2ClF
Source: the Alexandria database
Functional: PBE+U
Structure: optimized geometry

**Density**: 7.13 g/cm³

Cell: 4.002 4.002 3.873 Å, 90.00 90.00 90.00°
Fractional coordinates of all 5 atoms:
W (0.000, 0.000, 0.000)
N (0.000, 0.500, 0.500)
N (0.500, 0.000, 0.500)
Cl (0.500, 0.500, 0.500)
F (0.500, 0.500, 0.000)



## 2
Compound: WN2ClF
Source: the Alexandria database
Functional: PBE+U
Structure: optimized geometry

**Density**: 6.54 g/cm³

Cell: 4.039 4.039 4.147 Å, 90.00 90.00 90.00°
Fractional coordinates of all 5 atoms:
W (0.000, 0.000, 0.000)
N (0.000, 0.500, 0.000)
N (0.500, 0.000, 0.000)
Cl (0.500, 0.500, 0.500)
F (0.000, 0.000, 0.500)



Most stable to least stable: 2, 1